# 1
# Nd12Ho5Tm2, relaxed, DFT PBE
# crystal system = monoclinic
# E_form = 0.0998 eV/atom
# N(E_F) = 1.426 states/eV/atom
data_Nd12Ho5Tm2
_cell_length_a 17.946
_cell_length_b 11.740
_cell_length_c 6.233
_cell_angle_alpha 90.00
_cell_angle_beta 102.39
_cell_angle_gamma 90.00
_space_group_name_H-M_alt 'C 1 2/m 1'
_space_group_IT_number 12
_space_group_name_Hall '-C 2y'
loop_
_atom_site_label
_atom_site_type_symbol
_atom_site_fract_x
_atom_site_fract_y
_atom_site_fract_z
_atom_site_occupancy
Nd1 Nd 0.056 0.000 0.274 1
Nd2 Nd 0.104 0.252 0.617 1
Nd3 Nd 0.119 0.500 0.005 1
Nd4 Nd 0.196 0.242 0.198 1
Ho1 Ho 0.000 0.500 0.500 1
Ho2 Ho 0.178 0.000 0.859 1
Ho3 Ho 0.217 0.500 0.557 1
Tm1 Tm 0.000 0.267 0.000 1

***

# 2
# Pu2Cu3Ir, relaxed, DFT PBE
# crystal system = monoclinic
# E_form = -0.2219 eV/atom
# N(E_F) = 2.767 states/eV/atom
data_Pu2Cu3Ir
_cell_length_a 8.917
_cell_length_b 5.158
_cell_length_c 5.351
_cell_angle_alpha 90.00
_cell_angle_beta 123.76
_cell_angle_gamma 90.00
_space_group_name_H-M_alt 'C 1 2/m 1'
_space_group_IT_number 12
_space_group_name_Hall '-C 2y'
loop_
_atom_site_label
_atom_site_type_symbol
_atom_site_fract_x
_atom_site_fract_y
_atom_site_fract_z
_atom_site_occupancy
Pu1 Pu 0.129 0.000 0.387 1
Cu1 Cu 0.000 0.500 0.000 1
Cu2 Cu 0.250 0.250 0.000 1
Ir1 Ir 0.000 0.500 0.500 1

***

# 3
# LaYSi2, relaxed, DFT PBE
# crystal system = tetragonal
# energy relative to the elements, uncorrected = -486 meV per atom
# N(E_F) = 0.737 states/eV/atom
data_LaYSi2
_cell_length_a 3.381
_cell_length_b 3.381
_cell_length_c 8.109
_cell_angle_alpha 90.00
_cell_angle_beta 90.00
_cell_angle_gamma 90.00
_space_group_name_H-M_alt 'P 4/m m m'
_space_group_IT_number 123
_space_group_name_Hall '-P 4 2'
loop_
_atom_site_label
_atom_site_type_symbol
_atom_site_fract_x
_atom_site_fract_y
_atom_site_fract_z
_atom_site_occupancy
La1 La 0.000 0.000 0.000 1
Y1 Y 0.000 0.000 0.500 1
Si1 Si 0.500 0.500 0.261 1

***

# 4
# Ag4PtW, relaxed, DFT PBE
# crystal system = cubic
# E_form = 0.7565 eV/atom
# N(E_F) = 1.083 states/eV/atom
data_Ag4PtW
_cell_length_a 7.480
_cell_length_b 7.480
_cell_length_c 7.480
_cell_angle_alpha 90.00
_cell_angle_beta 90.00
_cell_angle_gamma 90.00
_space_group_name_H-M_alt 'F -4 3 m'
_space_group_IT_number 216
_space_group_name_Hall 'F -4 2 3'
loop_
_atom_site_label
_atom_site_type_symbol
_atom_site_fract_x
_atom_site_fract_y
_atom_site_fract_z
_atom_site_occupancy
Ag1 Ag 0.125 0.125 0.125 1
Pt1 Pt 0.250 0.250 0.750 1
W1 W 0.000 0.000 0.500 1

***

# 5
# AcLaPr3Nd, relaxed, DFT PBE
# crystal system = monoclinic
# E_form = 0.1749 eV/atom
# N(E_F) = 1.422 states/eV/atom
data_AcLaPr3Nd
_cell_length_a 21.068
_cell_length_b 5.974
_cell_length_c 7.232
_cell_angle_alpha 90.00
_cell_angle_beta 90.95
_cell_angle_gamma 90.00
_space_group_name_H-M_alt 'C 1 2/m 1'
_space_group_IT_number 12
_space_group_name_Hall '-C 2y'
loop_
_atom_site_label
_atom_site_type_symbol
_atom_site_fract_x
_atom_site_fract_y
_atom_site_fract_z
_atom_site_occupancy
Ac1 Ac 0.148 0.000 0.043 1
La1 La 0.141 0.000 0.497 1
Pr1 Pr 0.018 0.000 0.751 1
Pr2 Pr 0.160 0.500 0.758 1
Pr3 Pr 0.219 0.500 0.276 1
Nd1 Nd 0.054 0.500 0.272 1

***

# 6
# Na2HfSnSe5, relaxed, DFT PBE
# crystal system = orthorhombic
# energy relative to the elements, uncorrected = -934 meV per atom
data_Na2HfSnSe5
_cell_length_a 3.944
_cell_length_b 18.106
_cell_length_c 13.828
_cell_angle_alpha 90.00
_cell_angle_beta 90.00
_cell_angle_gamma 90.00
_space_group_name_H-M_alt 'C m c 21'
_space_group_IT_number 36
_space_group_name_Hall 'C 2c -2'
loop_
_atom_site_label
_atom_site_type_symbol
_atom_site_fract_x
_atom_site_fract_y
_atom_site_fract_z
_atom_site_occupancy
Na1 Na 0.000 0.101 0.000 1
Na2 Na 0.000 0.124 0.670 1
Hf1 Hf 0.000 0.233 0.389 1
Sn1 Sn 0.000 0.432 0.768 1
Se1 Se 0.000 0.064 0.393 1
Se2 Se 0.000 0.279 0.016 1
Se3 Se 0.000 0.291 0.747 1
Se4 Se 0.000 0.366 0.345 1
Se5 Se 0.000 0.500 0.112 1

***

# 7
# Ta2Be2Sn, relaxed, DFT PBE
# crystal system = tetragonal
# E_form = -0.0511 eV/atom
# N(E_F) = 0.546 states/eV/atom
data_Ta2Be2Sn
_cell_length_a 6.288
_cell_length_b 6.288
_cell_length_c 3.655
_cell_angle_alpha 90.00
_cell_angle_beta 90.00
_cell_angle_gamma 90.00
_space_group_name_H-M_alt 'P 4/m b m'
_space_group_IT_number 127
_space_group_name_Hall '-P 4 2ab'
loop_
_atom_site_label
_atom_site_type_symbol
_atom_site_fract_x
_atom_site_fract_y
_atom_site_fract_z
_atom_site_occupancy
Ta1 Ta 0.175 0.325 0.000 1
Be1 Be 0.113 0.613 0.500 1
Sn1 Sn 0.000 0.000 0.500 1

***

# 8
# Tl2In12Hg5, relaxed, DFT PBE
# crystal system = monoclinic
# E_form = 0.0720 eV/atom
# N(E_F) = 0.426 states/eV/atom
data_Tl2In12Hg5
_cell_length_a 18.574
_cell_length_b 6.463
_cell_length_c 9.907
_cell_angle_alpha 90.00
_cell_angle_beta 109.21
_cell_angle_gamma 90.00
_space_group_name_H-M_alt 'C 1 2/m 1'
_space_group_IT_number 12
_space_group_name_Hall '-C 2y'
loop_
_atom_site_label
_atom_site_type_symbol
_atom_site_fract_x
_atom_site_fract_y
_atom_site_fract_z
_atom_site_occupancy
Tl1 Tl 0.000 0.245 0.000 1
In1 In 0.002 0.000 0.349 1
In2 In 0.095 0.500 0.806 1
In3 In 0.175 0.264 0.576 1
In4 In 0.190 0.261 0.103 1
Hg1 Hg 0.000 0.500 0.500 1
Hg2 Hg 0.153 0.000 0.316 1
Hg3 Hg 0.157 0.000 0.831 1

***

The following magnetization values (in μB/atom) correspond, in order, to the records above: 0.0000, 1.9021, 0.0000, 0.2445, 0.0000, 0.0000, 0.0000, 0.0000.